Entry from Alexandria via LeMat-Bulk: a relaxed structure of Sr2RuW (GGA-PBE).

## Properties
- formation energy from the elements (eV per atom) = 0.553
- calculated total energy (eV/atom) = -5.845
- D(E_F) (states/eV/cell) = 7.83

Unit cell a=18.625 b=3.427 c=3.848 alpha=90.00 beta=101.86 gamma=90.00
Fractional coordinates of all 8 atoms:
Sr 0.147 0.000 0.146
Sr 0.353 0.500 0.854
Sr 0.647 0.500 0.146
Sr 0.853 0.000 0.854
Ru 0.000 0.500 0.000
Ru 0.500 0.000 0.000
W 0.000 0.000 0.500
W 0.500 0.500 0.500

Entry from Alexandria via LeMat-Bulk: a relaxed structure of Ba2ZrSc (GGA-PBE).

## Properties
- formation energy from the elements (eV per atom) = 0.345
- calculated total energy (eV/atom) = -4.337
- D(E_F) (states/eV/cell) = 6.95

Unit cell a=3.779 b=4.238 c=9.653 alpha=90.00 beta=90.00 gamma=90.00
Fractional coordinates of all 4 atoms:
Ba 0.000 0.000 0.000
Ba 0.500 0.500 0.364
Zr 0.500 0.500 0.746
Sc 0.000 0.000 0.616

Entry from Alexandria via LeMat-Bulk: a relaxed structure of Ce2UZnCo6 (GGA-PBE).

## Properties
- formation energy from the elements (eV per atom) = 0.356
- calculated total energy (eV/atom) = -6.350
- D(E_F) (states/eV/cell) = 13.46

Unit cell a=6.308 b=6.308 c=6.308 alpha=60.00 beta=60.00 gamma=60.00
Fractional coordinates of all 10 atoms:
Ce 0.250 0.250 0.250
Ce 0.750 0.750 0.750
U 0.000 0.000 0.000
Zn 0.500 0.500 0.500
Co 0.249 0.249 0.751
Co 0.249 0.751 0.249
Co 0.249 0.751 0.751
Co 0.751 0.249 0.249
Co 0.751 0.249 0.751
Co 0.751 0.751 0.249

Entry from Alexandria via LeMat-Bulk: a relaxed structure of HoTm2HfN4 (GGA-PBE).

## Properties
- calculated total energy (eV/atom) = -8.925
- D(E_F) (states/eV/cell) = 1.05
- formation energy from raw total energies (eV per atom) = -1.8284

Unit cell a=5.804 b=3.348 c=5.813 alpha=90.00 beta=109.26 gamma=90.00
Fractional coordinates of all 8 atoms:
Ho 0.000 0.000 0.000
Tm 0.500 0.000 0.500
Tm 0.500 0.500 0.000
Hf 0.000 0.500 0.500
N 0.238 0.000 0.735
N 0.244 0.500 0.261
N 0.756 0.500 0.739
N 0.762 0.000 0.265

Entry from Alexandria via LeMat-Bulk: a relaxed structure of HoRu6 (GGA-PBE).

## Properties
- formation energy from the elements (eV per atom) = 0.735
- calculated total energy (eV/atom) = -7.870
- D(E_F) (states/eV/cell) = 15.82

Unit cell a=6.685 b=6.685 c=6.685 alpha=90.00 beta=90.00 gamma=90.00
Fractional coordinates of all 14 atoms:
Ho 0.000 0.000 0.000
Ho 0.500 0.500 0.500
Ru 0.000 0.250 0.500
Ru 0.000 0.500 0.250
Ru 0.000 0.500 0.750
Ru 0.000 0.750 0.500
Ru 0.250 0.000 0.500
Ru 0.250 0.500 0.000
Ru 0.500 0.000 0.250
Ru 0.500 0.000 0.750
Ru 0.500 0.250 0.000
Ru 0.500 0.750 0.000
Ru 0.750 0.000 0.500
Ru 0.750 0.500 0.000

Entry from Alexandria via LeMat-Bulk: a relaxed structure of Ge3PdS (GGA-PBE).

## Properties
- calculated total energy (eV/atom) = -3.984
- D(E_F) (states/eV/cell) = 3.06
- formation energy from raw total energies (eV per atom) = 0.6508

Unit cell a=4.843 b=4.843 c=4.843 alpha=90.00 beta=90.00 gamma=90.00
Fractional coordinates of all 5 atoms:
Ge 0.000 0.000 0.500
Ge 0.000 0.500 0.000
Ge 0.500 0.000 0.000
Pd 0.500 0.500 0.500
S 0.000 0.000 0.000